Record 1
DFT (PBE) results for a geometry-optimized TiBe6Ir structure.

Computed properties:
size of the total moment	0.00	μB/f.u.
density	5.83	g/cm³
ΔE_f	116	meV per atom
calculated total energy	-4.77	eV per atom

Unit cell a=4.377 b=4.377 c=4.377 alpha=90.00 beta=90.00 gamma=90.00
Space group Pm-3 (No. 200)
Asymmetric unit:
Ti 0.000 0.000 0.000
Be 0.000 0.500 0.258
Ir 0.500 0.500 0.500

Record 2
DFT (PBE) results for a geometry-optimized La2DyHo6Er3 structure.

Computed properties:
size of the total moment	0.00	μB/f.u.
density	8.39	g/cm³
ΔE_f	25	meV per atom
calculated total energy	-4.61	eV per atom

Unit cell a=6.171 b=10.686 c=11.782 alpha=90.00 beta=100.03 gamma=90.00
Space group C2/m (No. 12)
Asymmetric unit:
La 0.000 0.166 0.000
Dy 0.000 0.500 0.000
Ho 0.246 0.500 0.745
Ho 0.248 0.166 0.745
Er 0.000 0.000 0.500
Er 0.000 0.334 0.500

Record 3
DFT (PBE) results for a geometry-optimized TmNpIn2 structure.

Computed properties:
size of the total moment	4.88	μB/f.u.
density	10.55	g/cm³
ΔE_f	-113	meV per atom
calculated total energy	-5.84	eV per atom

Unit cell a=3.233 b=3.233 c=9.570 alpha=90.00 beta=90.00 gamma=90.00
Space group P4/mmm (No. 123)
Asymmetric unit:
Tm 0.000 0.000 0.000
Np 0.000 0.000 0.500
In 0.500 0.500 0.244

Record 4
DFT (PBE) results for a geometry-optimized RbAs3Ir structure.

Computed properties:
size of the total moment	0.00	μB/f.u.
density	6.52	g/cm³
ΔE_f	334	meV per atom
calculated total energy	-4.42	eV per atom

Unit cell a=5.038 b=5.038 c=5.038 alpha=90.00 beta=90.00 gamma=90.00
Space group Pm-3m (No. 221)
Asymmetric unit:
Rb 0.000 0.000 0.000
As 0.000 0.500 0.500
Ir 0.500 0.500 0.500

Record 5
DFT (PBE) results for a geometry-optimized LiLa3Co structure.

Computed properties:
size of the total moment	0.00	μB/f.u.
density	4.97	g/cm³
ΔE_f	-6	meV per atom
calculated total energy	-4.77	eV per atom

Unit cell a=5.442 b=5.442 c=5.442 alpha=90.00 beta=90.00 gamma=90.00
Space group Pm-3m (No. 221)
Asymmetric unit:
Li 0.000 0.000 0.000
La 0.000 0.500 0.500
Co 0.500 0.500 0.500

Record 6
DFT (PBE) results for a geometry-optimized Tl3Ag2PdBr9 structure.

Computed properties:
ΔE_f (raw)	-0.4999	eV per atom
size of the total moment	0.00	μB/f.u.
density	5.94	g/cm³
calculated total energy	-2.70	eV per atom

Unit cell a=7.6356 b=7.6356 c=9.1621 alpha=90.00 beta=90.00 gamma=120.00
Space group P-3m1 (No. 164)
Asymmetric unit:
Tl 0.0000 0.0000 0.0000
Tl 0.3333 0.6667 0.7099
Ag 0.3333 0.6667 0.1763
Pd 0.0000 0.0000 0.5000
Br 0.0000 0.5000 0.0000
Br 0.1574 0.3147 0.3367